Entry 1:
This record from the Alexandria database describes crystalline AcPaO3 at its relaxed geometry. The functional is PBE.

Symmetry ... Pm-3m (221)
DOS(E_F) ... 0.670 states/eV/atom
Formation energy (no corrections) ... -2.78 eV per atom

a b c (Å): 4.4916 4.4916 4.4916
angles (deg): 90.00 90.00 90.00
Last column: nearest neighbours and their distance in Å.
Positions (direct):
1 Ac 0.5000 0.5000 0.5000  12 O 3.18
2 Pa 0.0000 0.0000 0.0000  6 O 2.25
3 O 0.0000 0.5000 0.0000  2 Pa 2.25
4 O 0.0000 0.0000 0.5000  2 Pa 2.25
5 O 0.5000 0.0000 0.0000  2 Pa 2.25


Entry 2:
This record from the Alexandria database describes crystalline AcPa4O12 at its relaxed geometry. The functional is PBE.

Symmetry ... Im-3 (204)
DOS(E_F) ... 0.956 states/eV/atom
Formation energy (no corrections) ... -3.41 eV per atom

a b c (Å): 7.4803 7.4803 7.4803
angles (deg): 109.47 109.47 109.47
Last column: nearest neighbours and their distance in Å.
Positions (direct):
1 Ac 0.0000 0.0000 0.0000  12 O 2.82
2 Pa 0.0000 0.5000 0.0000  6 O 2.17
3 Pa 0.5000 0.0000 0.0000  6 O 2.17
4 Pa 0.5000 0.5000 0.5000  6 O 2.17
5 Pa 0.0000 0.0000 0.5000  6 O 2.17
6 O 0.7728 0.2352 0.0079  2 Pa 2.17
7 O 0.2352 0.4624 0.2272  2 Pa 2.17
8 O 0.9921 0.2272 0.7648  2 Pa 2.17
9 O 0.2352 0.0079 0.7728  2 Pa 2.17
10 O 0.0079 0.7728 0.2352  2 Pa 2.17
11 O 0.7648 0.5376 0.7728  2 Pa 2.17
12 O 0.4624 0.2272 0.2352  2 Pa 2.17
13 O 0.5376 0.7728 0.7648  2 Pa 2.17
14 O 0.7648 0.9921 0.2272  2 Pa 2.17
15 O 0.7728 0.7648 0.5376  2 Pa 2.17
16 O 0.2272 0.2352 0.4624  2 Pa 2.17
17 O 0.2272 0.7648 0.9921  2 Pa 2.17


Entry 3:
This record from the Alexandria database describes crystalline Ac4Pa6O19 at its relaxed geometry. The functional is PBE.

Symmetry ... I23 (197)
DOS(E_F) ... 0.443 states/eV/atom
Formation energy (no corrections) ... -3.40 eV per atom

a b c (Å): 8.8000 8.8000 8.8000
angles (deg): 109.47 109.47 109.47
Last column: nearest neighbours and their distance in Å.
Positions (direct):
1 Ac 0.0000 0.0000 0.7082  4 O 2.44-2.57
2 Ac 0.0000 0.7082 0.0000  4 O 2.44-2.57
3 Ac 0.2918 0.2918 0.2918  4 O 2.44-2.57
4 Ac 0.7082 0.0000 0.0000  4 O 2.44-2.57
5 Pa 0.3272 0.5000 0.8272  6 O 2.25-2.26
6 Pa 0.6728 0.5000 0.1728  6 O 2.25-2.26
7 Pa 0.1728 0.6728 0.5000  6 O 2.25-2.26
8 Pa 0.8272 0.3272 0.5000  6 O 2.25-2.26
9 Pa 0.5000 0.8272 0.3272  6 O 2.25-2.26
10 Pa 0.5000 0.1728 0.6728  6 O 2.25-2.26
11 O 0.6396 0.0000 0.6396  2 Pa 2.26
12 O 0.3604 0.0000 0.3604  2 Pa 2.26
13 O 0.3604 0.3604 0.0000  2 Pa 2.26
14 O 0.6396 0.6396 0.0000  2 Pa 2.26
15 O 0.0000 0.6396 0.6396  2 Pa 2.26
16 O 0.0000 0.3604 0.3604  2 Pa 2.26
17 O 0.0000 0.0000 0.0000  4 Ac 2.57
18 O 0.3518 0.3228 0.5953  2 Pa 2.25, 1 Ac 2.44
19 O 0.6482 0.2435 0.9710  2 Pa 2.25, 1 Ac 2.44
20 O 0.7276 0.7565 0.4047  2 Pa 2.25, 1 Ac 2.44
21 O 0.9710 0.6482 0.2435  2 Pa 2.25, 1 Ac 2.44
22 O 0.2724 0.6772 0.0290  2 Pa 2.25, 1 Ac 2.44
23 O 0.5953 0.3518 0.3228  2 Pa 2.25, 1 Ac 2.44
24 O 0.0290 0.2724 0.6772  2 Pa 2.25, 1 Ac 2.44
25 O 0.4047 0.7276 0.7565  2 Pa 2.25, 1 Ac 2.44
26 O 0.6772 0.0290 0.2724  2 Pa 2.25, 1 Ac 2.44
27 O 0.2435 0.9710 0.6482  2 Pa 2.25, 1 Ac 2.44
28 O 0.3228 0.5953 0.3518  2 Pa 2.25, 1 Ac 2.44
29 O 0.7565 0.4047 0.7276  2 Pa 2.25, 1 Ac 2.44


Entry 4:
This record from the Alexandria database describes crystalline Ac2Pa2O7 at its relaxed geometry. The functional is PBE.

Symmetry ... Cmmm (65)
DOS(E_F) ... 0.356 states/eV/atom
Formation energy (no corrections) ... -3.43 eV per atom
Distance to the lowest polymorph of the same formula ... 0.096 eV per atom

a b c (Å): 5.6388 5.7619 5.6388
angles (deg): 90.00 94.10 90.00
Last column: nearest neighbours and their distance in Å.
Positions (direct):
1 Ac 0.7492 0.5000 0.7492  6 O 2.47-2.58
2 Ac 0.2508 0.5000 0.2508  6 O 2.47-2.58
3 Pa 0.7316 0.0000 0.2684  7 O 2.22-2.34
4 Pa 0.2684 0.0000 0.7316  7 O 2.22-2.34
5 O 0.0000 0.2302 0.5000  2 Pa 2.34, 2 Ac 2.58
6 O 0.5000 0.7698 0.0000  2 Pa 2.34, 2 Ac 2.58
7 O 0.0000 0.7698 0.5000  2 Pa 2.34, 2 Ac 2.58
8 O 0.5000 0.2302 0.0000  2 Pa 2.34, 2 Ac 2.58
9 O 0.0000 0.0000 0.0000  2 Pa 2.22
10 O 0.5000 0.7694 0.5000  2 Pa 2.33, 2 Ac 2.47
11 O 0.5000 0.2306 0.5000  2 Pa 2.33, 2 Ac 2.47


Entry 5:
This record from the Alexandria database describes crystalline Ac6PaO12 at its relaxed geometry. The functional is PBE.

Symmetry ... R-3 (148)
DOS(E_F) ... 0.889 states/eV/atom
Formation energy (no corrections) ... -3.37 eV per atom

a b c (Å): 7.1702 7.1702 7.1702
angles (deg): 98.86 98.86 98.86
Last column: nearest neighbours and their distance in Å.
Positions (direct):
1 Ac 0.7023 0.8610 0.3958  6 O 2.46-2.62
2 Ac 0.6042 0.2977 0.1390  6 O 2.46-2.62
3 Ac 0.1390 0.6042 0.2977  6 O 2.46-2.62
4 Ac 0.2977 0.1390 0.6042  6 O 2.46-2.62
5 Ac 0.3958 0.7023 0.8610  6 O 2.46-2.62
6 Ac 0.8610 0.3958 0.7023  6 O 2.46-2.62
7 Pa 0.0000 0.0000 0.0000  6 O 2.21
8 O 0.8232 0.5592 0.4086  4 Ac 2.46-2.60
9 O 0.4086 0.8232 0.5592  4 Ac 2.46-2.60
10 O 0.5592 0.4086 0.8232  4 Ac 2.46-2.60
11 O 0.1768 0.4408 0.5914  4 Ac 2.46-2.60
12 O 0.5914 0.1768 0.4408  4 Ac 2.46-2.60
13 O 0.4408 0.5914 0.1768  4 Ac 2.46-2.60
14 O 0.0647 0.9508 0.2985  1 Pa 2.21
15 O 0.0492 0.7015 0.9353  1 Pa 2.21
16 O 0.7015 0.9353 0.0492  1 Pa 2.21
17 O 0.9353 0.0492 0.7015  1 Pa 2.21
18 O 0.9508 0.2985 0.0647  1 Pa 2.21
19 O 0.2985 0.0647 0.9508  1 Pa 2.21


Entry 6:
This record from the Alexandria database describes crystalline Ac2PaO5 at its relaxed geometry. The functional is PBE.

Symmetry ... Pnma (62)
DOS(E_F) ... 0.392 states/eV/atom
Formation energy (no corrections) ... -3.37 eV per atom

a b c (Å): 6.5476 7.3076 10.6456
angles (deg): 90.00 90.00 90.00
Last column: nearest neighbours and their distance in Å.
Positions (direct):
1 Ac 0.4777 0.5021 0.8282  8 O 2.59-2.75
2 Ac 0.5223 0.4979 0.1718  8 O 2.59-2.75
3 Ac 0.9777 0.4979 0.6718  8 O 2.59-2.75
4 Ac 0.5223 0.0021 0.1718  8 O 2.59-2.75
5 Ac 0.0223 0.5021 0.3282  8 O 2.59-2.75
6 Ac 0.4777 0.9979 0.8282  8 O 2.59-2.75
7 Ac 0.0223 0.9979 0.3282  8 O 2.59-2.75
8 Ac 0.9777 0.0021 0.6718  8 O 2.59-2.75
9 Pa 0.4566 0.2500 0.5010  7 O 2.30-2.54
10 Pa 0.5434 0.7500 0.4990  7 O 2.30-2.54
11 Pa 0.9566 0.7500 0.9990  7 O 2.30-2.54
12 Pa 0.0434 0.2500 0.0010  7 O 2.30-2.54
13 O 0.0688 0.2500 0.5054  1 Pa 2.54, 4 Ac 2.60-2.65, 1 O 2.77
14 O 0.9312 0.7500 0.4946  1 Pa 2.54, 4 Ac 2.60-2.65, 1 O 2.77
15 O 0.5688 0.7500 0.9946  1 Pa 2.54, 4 Ac 2.60-2.65, 1 O 2.77
16 O 0.4312 0.2500 0.0054  1 Pa 2.54, 4 Ac 2.60-2.65, 1 O 2.77
17 O 0.3516 0.9747 0.5931  2 Pa 2.30-2.34
18 O 0.6484 0.0253 0.4069  2 Pa 2.30-2.34
19 O 0.8516 0.0253 0.9069  2 Pa 2.30-2.34
20 O 0.6484 0.4747 0.4069  2 Pa 2.30-2.34
21 O 0.1484 0.9747 0.0931  2 Pa 2.30-2.34
22 O 0.3516 0.5253 0.5931  2 Pa 2.30-2.34
23 O 0.1484 0.5253 0.0931  2 Pa 2.30-2.34
24 O 0.8516 0.4747 0.9069  2 Pa 2.30-2.34
25 O 0.1765 0.2500 0.7972  1 Pa 2.34, 2 Ac 2.60
26 O 0.8235 0.7500 0.2028  1 Pa 2.34, 2 Ac 2.60
27 O 0.6765 0.7500 0.7028  1 Pa 2.34, 2 Ac 2.60
28 O 0.3235 0.2500 0.2972  1 Pa 2.34, 2 Ac 2.60
29 O 0.6611 0.2500 0.6792  1 Pa 2.32
30 O 0.3389 0.7500 0.3208  1 Pa 2.32
31 O 0.1611 0.7500 0.8208  1 Pa 2.32
32 O 0.8389 0.2500 0.1792  1 Pa 2.32


Entry 7:
This record from the Alexandria database describes crystalline AcPaPbO6 at its relaxed geometry. The functional is PBE.

Symmetry ... P4_2nm (102)
Formation energy (no corrections) ... -2.59 eV per atom

a b c (Å): 5.2829 5.2829 10.9093
angles (deg): 90.00 90.00 90.00
Last column: nearest neighbours and their distance in Å.
Positions (direct):
1 Ac 0.5000 0.5000 0.5027  6 O 2.44-2.55
2 Ac 0.0000 0.0000 0.0027  6 O 2.44-2.55
3 Pa 0.5000 0.5000 0.1686  6 O 2.18-2.24
4 Pa 0.0000 0.0000 0.6686  6 O 2.18-2.24
5 Pb 0.5000 0.5000 0.8327  6 O 2.24-2.25
6 Pb 0.0000 0.0000 0.3327  6 O 2.24-2.25
7 O 0.1733 0.8267 0.5008  1 Pa 2.24, 1 Pb 2.24, 1 Ac 2.44
8 O 0.8267 0.1733 0.5008  1 Pa 2.24, 1 Pb 2.24, 1 Ac 2.44
9 O 0.3267 0.3267 0.0008  1 Pa 2.24, 1 Pb 2.24, 1 Ac 2.44
10 O 0.6733 0.6733 0.0008  1 Pa 2.24, 1 Pb 2.24, 1 Ac 2.44
11 O 0.2084 0.7916 0.1837  1 Pa 2.18, 1 Pb 2.25
12 O 0.7916 0.2084 0.1837  1 Pa 2.18, 1 Pb 2.25
13 O 0.2916 0.2916 0.6837  1 Pa 2.18, 1 Pb 2.25
14 O 0.7084 0.7084 0.6837  1 Pa 2.18, 1 Pb 2.25
15 O 0.7995 0.2005 0.8135  1 Pa 2.18, 1 Pb 2.25
16 O 0.2005 0.7995 0.8135  1 Pa 2.18, 1 Pb 2.25
17 O 0.7005 0.7005 0.3135  1 Pa 2.18, 1 Pb 2.25
18 O 0.2995 0.2995 0.3135  1 Pa 2.18, 1 Pb 2.25


Entry 8:
This record from the Alexandria database describes crystalline AcPaPb2O8 at its relaxed geometry. The functional is PBE.

Symmetry ... I-4m2 (119)
Formation energy (no corrections) ... -2.06 eV per atom

a b c (Å): 6.4654 6.4654 6.4654
angles (deg): 108.43 108.43 111.58
Last column: nearest neighbours and their distance in Å.
Positions (direct):
1 Ac 0.0000 0.0000 0.0000  8 O 2.48-2.70
2 Pa 0.2500 0.7500 0.5000  8 O 2.27-2.40
3 Pb 0.7500 0.2500 0.5000  4 O 2.08
4 Pb 0.5000 0.5000 0.0000  4 O 2.10
5 O 0.3537 0.0270 0.3266  1 Pb 2.08
6 O 0.3043 0.5081 0.2039  1 Pb 2.10, 1 Pa 2.27
7 O 0.3043 0.1004 0.7961  1 Pb 2.10, 1 Pa 2.27
8 O 0.7004 0.0270 0.6734  1 Pb 2.08
9 O 0.8996 0.6957 0.2039  1 Pb 2.10, 1 Pa 2.27
10 O 0.9730 0.2996 0.3266  1 Pb 2.08
11 O 0.9730 0.6463 0.6734  1 Pb 2.08
12 O 0.4919 0.6957 0.7961  1 Pb 2.10, 1 Pa 2.27


Entry 9:
This record from the Alexandria database describes crystalline AcPa2PbO8 at its relaxed geometry. The functional is PBE.

Symmetry ... I-4 (82)
DOS(E_F) ... 0.145 states/eV/atom
Formation energy (no corrections) ... -3.02 eV per atom

a b c (Å): 5.6376 5.6376 6.7860
angles (deg): 114.54 114.54 90.00
Last column: nearest neighbours and their distance in Å.
Positions (direct):
1 Ac 0.7500 0.2500 0.5000  8 O 2.51-2.56
2 Pa 0.5000 0.5000 0.0000  8 O 2.32-2.33
3 Pa 0.2500 0.7500 0.5000  8 O 2.27-2.40
4 Pb 0.0000 0.0000 0.0000  8 O 2.40-2.61
5 O 0.8736 0.8484 0.2324  2 Pa 2.33-2.40, 1 Pb 2.40, 1 O 2.50, 1 Ac 2.56
6 O 0.3587 0.3840 0.2324  2 Pa 2.33-2.40, 1 Pb 2.40, 1 O 2.50, 1 Ac 2.56
7 O 0.5787 0.6154 0.7380  2 Pa 2.27-2.32, 1 O 2.50, 1 Ac 2.51
8 O 0.1593 0.1226 0.7380  2 Pa 2.27-2.32, 1 O 2.50, 1 Ac 2.51
9 O 0.8774 0.4213 0.2620  2 Pa 2.27-2.32, 1 O 2.50, 1 Ac 2.51
10 O 0.3846 0.8407 0.2620  2 Pa 2.27-2.32, 1 O 2.50, 1 Ac 2.51
11 O 0.1516 0.6413 0.7676  2 Pa 2.33-2.40, 1 Pb 2.40, 1 O 2.50, 1 Ac 2.56
12 O 0.6160 0.1264 0.7676  2 Pa 2.33-2.40, 1 Pb 2.40, 1 O 2.50, 1 Ac 2.56


no.,calculated density (g/cm³)
1,9.27
2,6.92
3,8.22
4,9.34
5,8.38
6,9.98
7,8.30
8,7.99
9,9.74